# 1
MnSnOs: relaxed, PBE.

Properties
V = 48 Å³/f.u.
ΔE_f = 78 kJ/mol of formula units
Crystal system = tetragonal

a = 2.864 Å, b = 2.864 Å, c = 23.188 Å
α = 90.00°, β = 90.00°, γ = 90.00°
Space group I4/mmm (No. 139)
Symmetry-distinct sites (fractional):
1 Mn 0.000 0.000 0.140 [4 per cell]
2 Sn 0.000 0.000 0.437 [4 per cell]
3 Os 0.000 0.000 0.294 [4 per cell]

# 2
MnCd2SI: relaxed, PBE.

Properties
Formation energy (no corrections) = 0.98 eV per atom
V = 168 Å³/f.u.
Crystal system = tetragonal

a = 5.768 Å, b = 5.768 Å, c = 5.049 Å
α = 90.00°, β = 90.00°, γ = 90.00°
Space group P4/mmm (No. 123)
Symmetry-distinct sites (fractional):
1 Mn 0.000 0.000 0.000 [1 per cell]
2 Cd 0.000 0.500 0.500 [2 per cell]
3 S 0.500 0.500 0.000 [1 per cell]
4 I 0.000 0.000 0.500 [1 per cell]

# 3
Cr2FeCu: relaxed, PBE.

Properties
V = 46 Å³/f.u.
ΔE_f = 83 kJ/mol of formula units
Excess energy over the best structure of this formula in the dataset = 78 meV per atom
Crystal system = monoclinic

a = 2.406 Å, b = 4.070 Å, c = 4.770 Å
α = 90.00°, β = 97.75°, γ = 90.00°
Space group Pm (No. 6)
Symmetry-distinct sites (fractional):
1 Cr 0.000 0.000 0.000 [1 per cell]
2 Cr 0.198 0.500 0.743 [1 per cell]
3 Fe 0.452 0.000 0.502 [1 per cell]
4 Cu 0.673 0.500 0.245 [1 per cell]